No. 1
Density functional theory data (GGA-PBE) for MgRe2Ru after structural relaxation.

Its formation energy is 0.2053 eV per atom. The volume comes out at 14.94 Å³/atom. Its density of states at the Fermi level is 2.62 states/eV per cell.

The structure belongs to space group Pmmm (No. 47); the cell edges are 3.057, 4.298 and 4.548 Å and the angles 90.00°, 90.00° and 90.00°. The inequivalent atoms are Mg at (0.000, 0.000, 0.000), Re at (0.000, 0.500, 0.500), Re at (0.500, 0.000, 0.500) and Ru at (0.500, 0.500, 0.000).

=====

No. 2
Density functional theory data (GGA-PBE) for Ce6RhAu after structural relaxation.

Its formation energy is -0.2186 eV per atom. The volume comes out at 25.27 Å³/atom. Its density of states at the Fermi level is 19.62 states/eV per cell.

The structure belongs to space group P-1 (No. 2); the cell edges are 5.254, 6.523 and 6.842 Å and the angles 110.33°, 94.85° and 109.31°. The inequivalent atoms are Ce at (0.126, 0.251, 0.475), Ce at (0.275, 0.625, 0.120), Ce at (0.348, 0.712, 0.734), Rh at (0.500, 0.000, 0.500) and Au at (0.000, 0.000, 0.000).

=====

No. 3
Density functional theory data (GGA-PBE) for CoRePb after structural relaxation.

The distance to the lowest polymorph of the same formula comes out at 0.28 eV/f.u. Its formation energy is 0.4038 eV per atom. The volume comes out at 19.77 Å³/atom. Its density of states at the Fermi level is 5.54 states/eV per cell.

The structure belongs to space group P-1 (No. 2); the cell edges are 2.963, 4.595 and 9.421 Å and the angles 97.01°, 97.43° and 108.69°. The inequivalent atoms are Co at (0.171, 0.205, 0.167), Re at (0.388, 0.742, 0.047) and Pb at (0.010, 0.288, 0.664).